(1)
DFT (PBE) results for K3PuNp3S8 after structural relaxation.

Cell: 8.1081 8.1071 8.7761 Å, 117.49 90.00 120.00°
Fractional positions:
K  0.0000  0.0000  0.0000
K  0.5000  0.5000  0.0000
K  0.0000  0.5000  0.0000
S  0.2715  0.0391  0.3067
S  0.7676  0.0391  0.3067
S  0.7285  0.9609  0.6933
S  0.2669  0.5339  0.3007
S  0.2323  0.4646  0.6931
S  0.7331  0.4661  0.6993
S  0.2324  0.9609  0.6933
S  0.7677  0.5354  0.3069
Np  0.5000  0.0000  0.5000
Np  0.0000  0.5000  0.5000
Np  0.5000  0.5000  0.5000
Pu  0.0000  0.0000  0.5000

**Space group**: R-3m (166)
**Crystal system**: trigonal
**Energy relative to the elements, uncorrected**: -21.93 eV per formula unit

---

(2)
DFT (PBE) results for GdTaTcRu after structural relaxation.

Cell: 4.6524 4.6524 4.6524 Å, 60.00 60.00 60.00°
Fractional positions:
Ta  0.5000  0.5000  0.5000
Ru  0.7500  0.7500  0.7500
Tc  0.2500  0.2500  0.2500
Gd  0.0000  0.0000  0.0000

**Calculated formation energy**: -4.08 kcal/mol of atoms
**Space group**: F-43m (216)
**Crystal system**: cubic

---

Please write out number 1 again, unchanged.
DFT (PBE) results for K3PuNp3S8 after structural relaxation.

Cell: 8.1081 8.1071 8.7761 Å, 117.49 90.00 120.00°
Fractional positions:
K  0.0000  0.0000  0.0000
K  0.5000  0.5000  0.0000
K  0.0000  0.5000  0.0000
S  0.2715  0.0391  0.3067
S  0.7676  0.0391  0.3067
S  0.7285  0.9609  0.6933
S  0.2669  0.5339  0.3007
S  0.2323  0.4646  0.6931
S  0.7331  0.4661  0.6993
S  0.2324  0.9609  0.6933
S  0.7677  0.5354  0.3069
Np  0.5000  0.0000  0.5000
Np  0.0000  0.5000  0.5000
Np  0.5000  0.5000  0.5000
Pu  0.0000  0.0000  0.5000

**Space group**: R-3m (166)
**Crystal system**: trigonal
**Energy relative to the elements, uncorrected**: -21.93 eV per formula unit